Entry from Alexandria via LeMat-Bulk: an optimized crystal structure of KMn3Se4O12 (PBE+U).

Its magnetic moment is 30.9 Bohr magnetons per cell. The mass density is 3.9 g/cm3. The value obtained for the raw total energy is -342.2 eV per cell. Its density of states at the Fermi level is 5.18 states/eV/f.u.

The structure belongs to space group R32 (No. 155, hexagonal axes); the cell edges are 11.6576, 11.6576 and 7.6809 Å and the angles 90.00°, 90.00° and 120.00°. The inequivalent atoms are K at (0.0000, 0.0000, 0.0000), Mn at (0.0000, 0.5691, 0.0000), Se at (0.0000, 0.0000, 0.5000), Se at (0.0000, 0.4297, 0.5000), O at (0.0000, 0.6265, 0.5000), O at (0.0000, 0.8425, 0.5000) and O at (0.0632, 0.2594, 0.1667).